Entry from Alexandria: a geometry-optimized CrCd2FeS structure (GGA-PBE).

a = 5.247 Å, b = 5.247 Å, c = 4.206 Å
α = 90.00°, β = 90.00°, γ = 90.00°
Atoms (fractional coordinates):
Cr1 0.000 0.000 0.000
Cd1 0.000 0.500 0.000
Cd2 0.500 0.000 0.000
Fe1 0.500 0.500 0.500
S1 0.000 0.000 0.500

Uncorrected formation energy (eV per atom): 0.777
Size of the total moment (μB per cell): 5.76